{
  "formula": "Y3AlGa3",
  "functional": "PBE",
  "state": "relaxed",
  "crystal_system": "monoclinic",
  "lattice_angstrom": [[4.306, 0.000, 0.649], [2.120, 5.466, 0.542], [0.170, 0.106, 13.487]],
  "species": ["Y", "Y", "Y", "Y", "Y", "Y", "Al", "Al", "Ga", "Ga", "Ga", "Ga", "Ga", "Ga"],
  "frac_coords": [[0.520, 0.337, 0.624], [0.480, 0.663, 0.376], [0.262, 0.254, 0.223], [0.738, 0.746, 0.777], [0.394, 0.289, 0.924], [0.606, 0.711, 0.076], [0.764, 0.078, 0.393], [0.236, 0.922, 0.607], [0.869, 0.716, 0.545], [0.131, 0.284, 0.455], [0.111, 0.853, 0.925], [0.889, 0.147, 0.075], [0.974, 0.824, 0.228], [0.026, 0.176, 0.772]]
}

---

{
  "formula": "YAl5Ga6",
  "functional": "PBE",
  "state": "relaxed",
  "crystal_system": "monoclinic",
  "lattice_angstrom": [[-1.987, 3.527, -1.320], [-2.934, 0.759, 8.311], [3.739, 4.947, 0.720]],
  "species": ["Y", "Al", "Al", "Al", "Al", "Al", "Ga", "Ga", "Ga", "Ga", "Ga", "Ga"],
  "frac_coords": [[0.000, 0.000, 0.000], [0.663, 0.500, 0.675], [0.313, 0.000, 0.373], [0.000, 0.500, 0.000], [0.687, 0.000, 0.627], [0.337, 0.500, 0.325], [0.820, 0.732, 0.336], [0.844, 0.268, 0.336], [0.518, 0.256, 0.000], [0.482, 0.744, 0.000], [0.156, 0.732, 0.664], [0.180, 0.268, 0.664]]
}

---

{
  "formula": "YAlGa6",
  "functional": "PBE",
  "state": "relaxed",
  "crystal_system": "monoclinic",
  "lattice_angstrom": [[-2.350, -0.527, -5.224], [-4.063, -1.042, 3.936], [-4.337, 4.356, -0.566]],
  "species": ["Y", "Al", "Ga", "Ga", "Ga", "Ga", "Ga", "Ga"],
  "frac_coords": [[0.500, 0.500, 0.500], [0.000, 0.000, 0.000], [0.166, 0.693, 0.265], [0.693, 0.166, 0.265], [0.307, 0.834, 0.735], [0.834, 0.307, 0.735], [0.274, 0.274, 0.176], [0.726, 0.726, 0.824]]
}

---

{
  "formula": "Y2AlGa",
  "functional": "PBE",
  "state": "relaxed",
  "crystal_system": "monoclinic",
  "lattice_angstrom": [[4.072, 0.000, 0.000], [0.000, 5.937, -0.120], [0.000, -3.120, 8.263]],
  "species": ["Y", "Y", "Y", "Y", "Al", "Al", "Ga", "Ga"],
  "frac_coords": [[0.750, 0.220, 0.427], [0.250, 0.780, 0.573], [0.250, 0.781, 0.067], [0.750, 0.219, 0.933], [0.750, 0.648, 0.286], [0.250, 0.352, 0.714], [0.250, 0.348, 0.212], [0.750, 0.652, 0.788]]
}

---

{
  "formula": "Y2AlGa6",
  "functional": "PBE",
  "state": "relaxed",
  "crystal_system": "trigonal",
  "lattice_angstrom": [[-1.199, -5.414, -1.240], [1.258, 1.031, -5.717], [4.283, -1.798, 3.708]],
  "species": ["Y", "Y", "Al", "Ga", "Ga", "Ga", "Ga", "Ga", "Ga"],
  "frac_coords": [[0.143, 0.667, 0.333], [0.857, 0.333, 0.667], [0.000, 0.000, 0.000], [0.668, 0.820, 0.180], [0.668, 0.820, 0.640], [0.668, 0.360, 0.180], [0.332, 0.180, 0.820], [0.332, 0.180, 0.360], [0.332, 0.640, 0.820]]
}

---

{
  "formula": "YAlGa",
  "functional": "PBE",
  "state": "relaxed",
  "crystal_system": "hexagonal",
  "lattice_angstrom": [[-2.419, -2.925, -0.286], [2.802, -2.532, 2.195], [-3.026, 2.292, 2.161]],
  "species": ["Y", "Al", "Ga"],
  "frac_coords": [[0.667, 0.667, 0.333], [0.166, 0.000, 0.000], [0.167, 0.333, 0.667]]
}

---

| no. | calculated total energy (eV per atom) | E_form (eV/atom) |
| --- | --- | --- |
| 1 | -5.24 | -0.639 |
| 2 | -3.71 | -0.096 |
| 3 | -3.66 | -0.118 |
| 4 | -5.47 | -0.550 |
| 5 | -4.35 | -0.477 |
| 6 | -5.00 | -0.589 |